Entry 1:
# HfCuOF2 SCAN PBEsol geometry
data_HfCuOF2
_chemical_formula_sum 'Hf1 Cu1 O1 F2'
_cell_length_a 3.972
_cell_length_b 4.155
_cell_length_c 4.155
_cell_angle_alpha 90.00
_cell_angle_beta 90.00
_cell_angle_gamma 90.00
_symmetry_space_group_name_H-M 'P 1'
_symmetry_Int_Tables_number 1
loop_
_symmetry_equiv_pos_as_xyz
'x,y,z'
loop_
_atom_site_label
_atom_site_fract_x
_atom_site_fract_y
_atom_site_fract_z
O1 0.500 0.000 0.000
Cu1 0.500 0.500 0.500
Hf1 0.000 0.000 0.000
F1 0.000 0.500 0.000
F2 0.000 0.000 0.500
# Uncorrected energy in eV/atom: -20.545
# SG: P4/mmm (123)
# Formation energy from raw total energies in kcal/mol of atoms: -53.2

=====

Entry 2:
# CuHgF2 SCAN PBEsol geometry
data_CuHgF2
_chemical_formula_sum 'Cu1 Hg1 F2'
_cell_length_a 3.046
_cell_length_b 3.046
_cell_length_c 7.733
_cell_angle_alpha 78.64
_cell_angle_beta 78.64
_cell_angle_gamma 60.00
_symmetry_space_group_name_H-M 'P 1'
_symmetry_Int_Tables_number 1
loop_
_symmetry_equiv_pos_as_xyz
'x,y,z'
loop_
_atom_site_label
_atom_site_fract_x
_atom_site_fract_y
_atom_site_fract_z
F1 0.881 0.881 0.358
F2 0.119 0.119 0.642
Cu1 0.500 0.500 0.500
Hg1 0.000 0.000 0.000
# Uncorrected energy in eV/atom: -23.830
# SG: R-3m (166)
# Formation energy from raw total energies in kcal/mol of atoms: -28.1

=====

Entry 3:
# CuHg3F SCAN PBEsol geometry
data_CuHg3F
_chemical_formula_sum 'Cu1 Hg3 F1'
_cell_length_a 4.766
_cell_length_b 4.766
_cell_length_c 4.766
_cell_angle_alpha 90.00
_cell_angle_beta 90.00
_cell_angle_gamma 90.00
_symmetry_space_group_name_H-M 'P 1'
_symmetry_Int_Tables_number 1
loop_
_symmetry_equiv_pos_as_xyz
'x,y,z'
loop_
_atom_site_label
_atom_site_fract_x
_atom_site_fract_y
_atom_site_fract_z
F1 0.000 0.000 0.000
Hg1 0.000 0.000 0.500
Hg2 0.500 0.000 0.000
Hg3 0.000 0.500 0.000
Cu1 0.500 0.500 0.500
# Uncorrected energy in eV/atom: -44.343
# SG: Pm-3m (221)
# Formation energy from raw total energies in kcal/mol of atoms: 7.0